## a
! meta-GGA SCAN Li4FeOF5, single point on PBEsol structure; values from VASP
! Space group: Cm, No. 8
! V, Å³/atom: 11.03
! DOS at the Fermi energy, states/eV/f.u.: 0.0
&SYSTEM
  ibrav = 0, nat = 33, ntyp = 4
/
ATOMIC_SPECIES
Li 6.94 Li.upf
F 19.00 F.upf
O 16.00 O.upf
Fe 55.84 Fe.upf
CELL_PARAMETERS angstrom
-3.841 4.154 -0.394
-3.761 0.787 4.157
8.322 8.178 5.940
ATOMIC_POSITIONS angstrom
Li 2.905 8.158 3.644
Li 0.285 5.444 1.733
Li -2.092 4.738 2.361
Li 1.648 3.141 3.405
Li 1.657 4.644 5.703
Li -0.927 4.760 4.755
Li 2.952 5.454 2.863
Li -0.782 2.233 4.003
Li -2.147 3.125 0.018
Li -3.393 2.351 2.988
Li 0.318 7.128 4.133
Li -0.825 0.727 1.655
F -3.428 7.515 4.496
F -1.187 4.430 0.810
F -3.749 3.136 1.215
F 0.408 6.014 5.615
F -2.420 0.645 2.811
F -0.908 8.514 3.990
F 1.674 4.321 1.988
F 4.497 7.291 4.061
F -0.865 5.889 3.173
F -0.433 10.396 6.726
F 1.767 7.040 2.832
F -2.084 3.416 3.595
F -3.532 5.824 2.281
F -1.182 1.456 -0.069
F 2.204 8.821 5.228
O 3.385 8.959 7.764
O 5.922 7.314 6.505
O 4.686 9.884 4.908
Fe 3.270 9.995 6.183
Fe 4.578 7.490 7.828
Fe 5.784 8.322 4.910


## b
! meta-GGA SCAN Li4FeOF5, single point on PBEsol structure; values from VASP
! Space group: Cc, No. 9
! V, Å³/atom: 9.42
! DOS at the Fermi energy, states/eV/f.u.: 0.0
&SYSTEM
  ibrav = 0, nat = 22, ntyp = 4
/
ATOMIC_SPECIES
Li 6.94 Li.upf
F 19.00 F.upf
Fe 55.84 Fe.upf
O 16.00 O.upf
CELL_PARAMETERS angstrom
5.031 -0.009 -0.006
-2.460 4.389 -0.006
-0.783 -1.334 9.397
ATOMIC_POSITIONS angstrom
Li 1.682 1.630 2.248
Li 0.095 1.487 0.007
Li 4.231 -0.051 2.330
Li 0.212 1.597 6.947
Li -2.499 3.002 7.029
Li 0.861 0.141 4.705
Li -0.726 2.932 2.405
Li 2.522 0.129 7.104
F -0.872 2.984 5.813
F 3.422 1.360 1.115
F 0.925 0.137 1.183
F 0.865 3.129 8.134
F 2.702 2.947 3.436
F 0.882 -0.114 8.204
F -0.723 0.207 5.881
F -1.401 1.585 8.165
F -0.138 1.381 3.506
F 2.458 0.216 3.466
Fe 3.232 1.518 4.791
Fe 0.141 4.229 0.093
O 0.775 2.990 1.199
O 1.841 1.468 5.897


Which structure is the most stable? The one labeled b.


## a
! meta-GGA SCAN LiFe2OF3, single point on PBEsol structure; values from VASP
! Space group: R-3m, No. 166
! V, Å³/atom: 10.88
&SYSTEM
  ibrav = 0, nat = 14, ntyp = 4
/
ATOMIC_SPECIES
F 19.00 F.upf
Fe 55.84 Fe.upf
O 16.00 O.upf
Li 6.94 Li.upf
CELL_PARAMETERS angstrom
6.041 0.000 0.000
3.021 5.232 0.000
3.021 1.744 4.820
ATOMIC_POSITIONS angstrom
F 6.041 1.783 1.098
F 7.518 2.635 3.722
F 4.564 4.340 1.098
F 4.564 2.635 3.722
F 7.518 4.340 1.098
F 6.041 5.193 3.722
Fe 0.000 0.000 0.000
Fe 3.021 3.488 2.410
Fe 4.531 0.872 2.410
Fe 1.510 0.872 2.410
O 9.062 5.232 3.267
O 3.021 1.744 1.553
Li 6.041 3.488 0.342
Li 6.041 3.488 4.477


## b
! meta-GGA SCAN LiFe2OF3, single point on PBEsol structure; values from VASP
! Space group: P4_3, No. 78
! V, Å³/atom: 11.52
&SYSTEM
  ibrav = 0, nat = 28, ntyp = 4
/
ATOMIC_SPECIES
O 16.00 O.upf
Li 6.94 Li.upf
F 19.00 F.upf
Fe 55.84 Fe.upf
CELL_PARAMETERS angstrom
-2.193 -2.884 4.737
5.249 0.564 2.773
-2.722 7.891 3.545
ATOMIC_POSITIONS angstrom
O -0.111 -0.807 1.828
O -2.341 3.580 7.752
O 1.779 2.513 7.490
O 2.648 2.072 3.339
Li -0.763 4.657 7.921
Li 0.752 1.917 3.584
Li 1.346 3.642 6.000
Li 0.004 -1.013 3.732
F 2.272 0.360 5.352
F -1.532 -2.081 4.045
F 3.089 4.108 5.417
F 0.736 3.749 4.191
F 0.982 5.064 7.254
F -0.735 0.761 3.913
F 0.872 -1.870 5.204
F -1.611 4.265 5.277
F 0.166 2.122 1.792
F -0.465 1.542 6.418
F -0.235 7.028 5.983
F 0.030 3.851 9.442
Fe 0.607 1.104 8.035
Fe 1.637 6.897 6.621
Fe 1.794 -0.934 6.774
Fe -1.264 7.343 4.311
Fe -0.877 4.817 3.522
Fe 3.871 1.202 4.523
Fe -3.168 3.299 6.050
Fe -2.081 0.932 5.447


Which structure is the most stable? The one labeled a.


## a
! meta-GGA SCAN FeNiNF2, single point on PBEsol structure; values from VASP
! Space group: P4/mmm, No. 123
! V, Å³/atom: 10.49
! DOS at the Fermi energy, states/eV/f.u.: 2.3
&SYSTEM
  ibrav = 0, nat = 5, ntyp = 4
/
ATOMIC_SPECIES
F 19.00 F.upf
Ni 58.69 Ni.upf
Fe 55.84 Fe.upf
N 14.01 N.upf
CELL_PARAMETERS angstrom
3.758 0.000 0.000
0.000 3.758 0.000
0.000 0.000 3.712
ATOMIC_POSITIONS angstrom
F 0.000 1.879 0.000
F 1.879 0.000 0.000
Ni 0.000 0.000 0.000
Fe 1.879 1.879 1.856
N 0.000 0.000 1.856


## b
! meta-GGA SCAN FeNiNF2, single point on PBEsol structure; values from VASP
! Space group: P4/mmm, No. 123
! V, Å³/atom: 10.43
! DOS at the Fermi energy, states/eV/f.u.: 6.4
&SYSTEM
  ibrav = 0, nat = 5, ntyp = 4
/
ATOMIC_SPECIES
Fe 55.84 Fe.upf
N 14.01 N.upf
F 19.00 F.upf
Ni 58.69 Ni.upf
CELL_PARAMETERS angstrom
3.865 0.000 0.000
0.000 3.865 0.000
0.000 0.000 3.492
ATOMIC_POSITIONS angstrom
Fe 0.000 0.000 0.000
N 0.000 0.000 1.746
F 1.933 0.000 0.000
F 0.000 1.933 0.000
Ni 1.933 1.933 1.746


Which structure is the most stable? The one labeled a.


## a
! meta-GGA SCAN FeOsNF2, single point on PBEsol structure; values from VASP
! Space group: P4/mmm, No. 123
! V, Å³/atom: 11.16
! DOS at the Fermi energy, states/eV/f.u.: 2.7
&SYSTEM
  ibrav = 0, nat = 5, ntyp = 4
/
ATOMIC_SPECIES
N 14.01 N.upf
F 19.00 F.upf
Os 190.23 Os.upf
Fe 55.84 Fe.upf
CELL_PARAMETERS angstrom
-3.021 2.011 0.260
-1.990 -2.851 -1.071
-0.450 -1.195 4.017
ATOMIC_POSITIONS angstrom
N -0.225 -0.597 2.008
F -0.995 -1.426 -0.535
F -1.510 1.006 0.130
Os -2.731 -1.017 1.603
Fe 0.000 0.000 0.000


## b
! meta-GGA SCAN FeOsNF2, single point on PBEsol structure; values from VASP
! Space group: P4/mmm, No. 123
! V, Å³/atom: 13.15
! DOS at the Fermi energy, states/eV/f.u.: 4.4
&SYSTEM
  ibrav = 0, nat = 5, ntyp = 4
/
ATOMIC_SPECIES
N 14.01 N.upf
F 19.00 F.upf
Fe 55.84 Fe.upf
Os 190.23 Os.upf
CELL_PARAMETERS angstrom
3.719 0.000 0.000
0.000 4.205 0.000
0.000 0.000 4.205
ATOMIC_POSITIONS angstrom
N 1.860 0.000 0.000
F 0.000 0.000 2.103
F 0.000 2.103 0.000
Fe 1.860 2.103 2.103
Os 0.000 0.000 0.000


Which structure is the most stable? The one labeled b.


## a
! meta-GGA SCAN Fe4O3F5, single point on PBEsol structure; values from VASP
! Space group: Cm, No. 8
! V, Å³/atom: 10.39
! DOS at the Fermi energy, states/eV/f.u.: 5.1
&SYSTEM
  ibrav = 0, nat = 12, ntyp = 3
/
ATOMIC_SPECIES
F 19.00 F.upf
Fe 55.84 Fe.upf
O 16.00 O.upf
CELL_PARAMETERS angstrom
4.774 0.079 -0.051
0.452 5.431 -0.161
-0.452 -2.376 4.887
ATOMIC_POSITIONS angstrom
F 0.973 1.621 0.725
F 3.797 0.075 1.721
F 0.973 3.059 2.950
F 3.797 1.516 3.951
F 2.925 -1.197 4.124
Fe 2.590 4.268 2.167
Fe 0.012 1.516 2.370
Fe 2.590 2.831 -0.056
Fe 0.496 5.401 -0.141
O 3.489 2.723 1.590
O 1.819 4.358 0.533
O 1.315 0.363 3.115


## b
! meta-GGA SCAN Fe4O3F5, single point on PBEsol structure; values from VASP
! Space group: Imm2, No. 44
! V, Å³/atom: 10.88
! DOS at the Fermi energy, states/eV/f.u.: 3.8
&SYSTEM
  ibrav = 0, nat = 12, ntyp = 3
/
ATOMIC_SPECIES
F 19.00 F.upf
Fe 55.84 Fe.upf
O 16.00 O.upf
CELL_PARAMETERS angstrom
5.576 -0.209 -0.041
-2.472 5.002 0.041
-1.926 -2.154 4.773
ATOMIC_POSITIONS angstrom
F -0.262 -1.510 3.789
F 1.420 4.161 0.960
F 1.270 0.857 3.789
F -1.460 0.945 3.366
F -0.112 1.795 0.960
Fe 3.614 -2.340 4.685
Fe 2.506 -0.063 2.327
Fe 1.658 2.327 0.138
Fe -1.389 2.741 2.368
O 2.549 -1.650 3.305
O 1.041 -0.674 1.350
O 2.726 1.636 1.522


Which structure is the most stable? The one labeled b.


## a
! meta-GGA SCAN Fe6OF11, single point on PBEsol structure; values from VASP
! Space group: Amm2, No. 38
! V, Å³/atom: 11.67
! DOS at the Fermi energy, states/eV/f.u.: 4.2
&SYSTEM
  ibrav = 0, nat = 18, ntyp = 3
/
ATOMIC_SPECIES
F 19.00 F.upf
Fe 55.84 Fe.upf
O 16.00 O.upf
CELL_PARAMETERS angstrom
2.949 0.000 0.000
0.000 6.829 0.000
0.000 -3.415 10.425
ATOMIC_POSITIONS angstrom
F 0.000 3.400 4.942
F 0.000 3.512 8.953
F 0.000 3.342 2.067
F 1.475 1.975 6.945
F 0.000 0.097 1.473
F 0.000 -0.073 8.359
F 0.000 -0.014 5.484
F 1.475 5.390 3.481
F 1.475 -2.000 6.861
F 1.475 1.414 3.565
F 1.475 2.010 0.000
Fe 1.475 -0.015 6.948
Fe 0.000 -0.006 3.461
Fe 1.475 6.705 0.000
Fe 1.475 3.399 3.478
Fe 0.000 3.408 6.964
Fe 0.000 3.555 0.000
O 1.475 4.817 0.000


## b
! meta-GGA SCAN Fe6OF11, single point on PBEsol structure; values from VASP
! Space group: Cm, No. 8
! V, Å³/atom: 11.37
! DOS at the Fermi energy, states/eV/f.u.: 16.2
&SYSTEM
  ibrav = 0, nat = 18, ntyp = 3
/
ATOMIC_SPECIES
F 19.00 F.upf
Fe 55.84 Fe.upf
O 16.00 O.upf
CELL_PARAMETERS angstrom
-3.396 -4.137 -1.772
2.671 -4.794 1.292
-3.266 -3.137 5.794
ATOMIC_POSITIONS angstrom
F -2.558 -7.224 3.516
F -4.807 -7.573 4.876
F -4.326 -4.890 2.852
F -0.653 -6.945 -0.196
F -1.632 -8.872 1.329
F -3.288 -6.702 0.664
F 0.228 -7.083 2.439
F -0.606 -5.293 4.731
F -3.312 -5.189 5.445
F -2.400 -7.833 6.092
F -2.338 -3.071 3.972
Fe -0.822 -3.526 0.872
Fe -1.617 -6.768 1.750
Fe -2.367 -5.163 3.581
Fe -3.232 -8.649 4.546
Fe -3.260 -3.161 5.778
Fe -1.599 -1.572 2.828
O -1.504 -4.873 1.933


Which structure is the most stable? The one labeled b.


## a
! meta-GGA SCAN Fe6O5F7, single point on PBEsol structure; values from VASP
! Space group: C2, No. 5
! V, Å³/atom: 10.83
! DOS at the Fermi energy, states/eV/f.u.: 2.4
&SYSTEM
  ibrav = 0, nat = 18, ntyp = 3
/
ATOMIC_SPECIES
Fe 55.84 Fe.upf
O 16.00 O.upf
F 19.00 F.upf
CELL_PARAMETERS angstrom
5.560 0.008 0.135
1.975 5.198 0.135
2.804 1.937 6.849
ATOMIC_POSITIONS angstrom
Fe 4.700 5.751 2.567
Fe 7.282 3.664 1.398
Fe 4.252 1.903 0.135
Fe 4.336 1.628 5.720
Fe 3.297 4.782 4.551
Fe 5.775 2.696 3.559
O 1.646 2.120 2.372
O 4.351 3.221 4.639
O 7.774 6.353 4.746
O 5.787 4.213 2.479
O 3.223 3.392 0.135
F 7.165 3.667 5.008
F 8.805 4.822 6.801
F 4.947 5.955 4.563
F 4.374 1.740 2.110
F 2.714 0.614 0.317
F 3.019 4.624 2.556
F 5.403 0.236 0.135


## b
! meta-GGA SCAN Fe6O5F7, single point on PBEsol structure; values from VASP
! Space group: Amm2, No. 38
! V, Å³/atom: 10.74
! DOS at the Fermi energy, states/eV/f.u.: 6.2
&SYSTEM
  ibrav = 0, nat = 18, ntyp = 3
/
ATOMIC_SPECIES
F 19.00 F.upf
Fe 55.84 Fe.upf
O 16.00 O.upf
CELL_PARAMETERS angstrom
4.689 -0.069 0.000
-0.476 4.665 0.000
0.000 0.000 8.849
ATOMIC_POSITIONS angstrom
F 3.678 0.871 5.879
F 3.678 0.871 2.969
F 2.990 3.261 4.424
F 0.605 3.656 0.000
F 0.549 3.740 2.969
F 0.549 3.740 5.879
F 3.590 0.920 0.000
Fe 0.126 0.137 4.424
Fe 2.048 2.234 5.994
Fe 4.177 4.557 7.483
Fe 4.177 4.557 1.366
Fe 2.048 2.234 2.855
Fe 2.099 2.289 0.000
O 2.951 3.219 1.469
O 1.340 1.462 4.424
O 1.233 1.345 7.405
O 2.951 3.219 7.380
O 1.233 1.345 1.443


Which structure is the most stable? The one labeled b.


## a
! meta-GGA SCAN Fe2OF3, single point on PBEsol structure; values from VASP
! Space group: Imma, No. 74
! V, Å³/atom: 11.49
! DOS at the Fermi energy, states/eV/f.u.: 4.2
&SYSTEM
  ibrav = 0, nat = 12, ntyp = 3
/
ATOMIC_SPECIES
Fe 55.84 Fe.upf
F 19.00 F.upf
O 16.00 O.upf
CELL_PARAMETERS angstrom
5.656 -0.072 -0.053
-2.388 5.128 0.053
-1.803 -2.419 4.785
ATOMIC_POSITIONS angstrom
Fe 2.828 -0.036 -0.026
Fe -0.216 0.140 2.230
Fe 1.682 2.497 2.555
Fe -1.194 2.564 0.026
F 0.989 -0.639 3.711
F 1.568 0.779 1.428
F -0.102 1.859 3.357
F -2.454 3.378 1.481
F -1.737 -0.670 3.357
F 0.476 3.277 1.074
O 4.348 0.774 0.837
O -2.883 1.864 3.948


## b
! meta-GGA SCAN Fe2OF3, single point on PBEsol structure; values from VASP
! Space group: Amm2, No. 38
! V, Å³/atom: 10.92
! DOS at the Fermi energy, states/eV/f.u.: 3.5
&SYSTEM
  ibrav = 0, nat = 24, ntyp = 3
/
ATOMIC_SPECIES
Fe 55.84 Fe.upf
F 19.00 F.upf
O 16.00 O.upf
CELL_PARAMETERS angstrom
-0.985 2.907 -3.550
-2.113 -3.648 -2.061
-10.269 2.967 5.279
ATOMIC_POSITIONS angstrom
Fe -10.609 2.242 1.829
Fe -7.781 2.202 3.798
Fe -3.004 -0.719 -5.441
Fe -2.662 0.723 1.167
Fe -5.185 1.471 2.548
Fe -7.838 1.483 0.588
Fe -5.391 0.776 -0.670
Fe -2.778 -0.021 -2.196
F -7.544 3.448 -0.045
F -7.335 0.957 -1.345
F -4.815 0.224 -2.664
F -9.876 1.686 -0.063
F -10.235 4.271 1.478
F -8.231 -0.547 0.862
F -3.049 -2.025 -1.659
F -10.927 0.251 2.391
F -0.843 -0.202 -1.527
F -2.357 1.995 -2.572
F -5.174 2.764 -1.263
F -5.862 -1.231 -0.355
O -8.712 1.999 2.197
O -3.520 0.499 -0.472
O -6.024 1.271 1.028
O -2.159 -0.516 -3.910


Which structure is the most stable? The one labeled a.